## w
Material: P2PdRu2
Method: DFT, PBE-GGA
State: optimized geometry

Results
Magnetic moment ... 0.0 μB/f.u.

```
P2PdRu2
1.0
-1.447 -2.096 -2.576
3.254 -0.330 -1.558
1.935 -5.759 1.051
Pd P Ru
1 2 2
Direct
0.000 0.000 0.000
0.250 0.750 0.500
0.750 0.250 0.500
0.378 0.378 0.245
0.622 0.622 0.755
```

## x
Material: P2PdRu2
Method: DFT, PBE-GGA
State: optimized geometry

Results
Magnetic moment ... 0.0 μB/f.u.

```
P2PdRu2
1.0
6.865 0.000 0.000
0.000 6.865 0.000
0.000 0.000 2.840
Ru Pd P
4 2 4
Direct
0.357 0.143 0.500
0.643 0.857 0.500
0.143 0.643 0.500
0.857 0.357 0.500
0.000 0.000 0.000
0.500 0.500 0.000
0.850 0.650 0.000
0.350 0.850 0.000
0.650 0.150 0.000
0.150 0.350 0.000
```

Which of them is the least stable? Correct choice: w.

## w
Material: PPd3Ru
Method: DFT, PBE-GGA
State: optimized geometry

Results
Magnetic moment ... 3.2 μB/f.u.

```
PPd3Ru
1.0
-2.109 -3.726 1.233
2.634 -2.382 -2.692
2.910 -0.545 3.330
Pd Ru P
3 1 1
Direct
0.500 0.000 0.000
0.000 0.000 0.500
0.000 0.500 0.000
0.500 0.500 0.500
0.000 0.000 0.000
```

## x
Material: PPd3Ru
Method: DFT, PBE-GGA
State: optimized geometry

Results
Magnetic moment ... 1.3 μB/f.u.

```
PPd3Ru
1.0
4.752 0.000 0.000
0.000 4.752 0.000
0.000 0.000 4.752
Pd P Ru
3 1 1
Direct
0.000 0.000 0.500
0.500 0.000 0.000
0.000 0.500 0.000
0.500 0.500 0.500
0.000 0.000 0.000
```

Which of them is the least stable? Correct choice: x.

## w
Material: PPdRuS2
Method: DFT, PBE-GGA
State: optimized geometry

Results
Magnetic moment ... 0.0 μB/f.u.

```
PPdRuS2
1.0
4.672 0.000 0.000
0.000 4.672 0.000
0.000 0.000 4.433
S P Pd Ru
2 1 1 1
Direct
0.000 0.500 0.000
0.500 0.000 0.000
0.000 0.000 0.500
0.500 0.500 0.500
0.000 0.000 0.000
```

## x
Material: PPdRuS2
Method: DFT, PBE-GGA
State: optimized geometry

Results
Magnetic moment ... 2.9 μB/f.u.

```
PPdRuS2
1.0
4.720 0.000 0.000
0.000 4.720 0.000
0.000 0.000 4.517
P S Ru Pd
1 2 1 1
Direct
0.000 0.000 0.500
0.000 0.500 0.000
0.500 0.000 0.000
0.500 0.500 0.500
0.000 0.000 0.000
```

Which of them is the least stable? Correct choice: x.

## w
Material: P2PdRuS
Method: DFT, PBE-GGA
State: optimized geometry

Results
Magnetic moment ... 0.0 μB/f.u.

```
P2PdRuS
1.0
-4.474 0.066 0.659
-0.369 -3.985 -2.105
0.568 -2.207 4.078
P Ru S Pd
2 1 1 1
Direct
0.500 0.000 0.000
0.000 0.500 0.000
0.500 0.500 0.500
0.000 0.000 0.500
0.000 0.000 0.000
```

## x
Material: P2PdRuS
Method: DFT, PBE-GGA
State: optimized geometry

Results
Magnetic moment ... 0.0 μB/f.u.

```
P2PdRuS
1.0
4.404 0.000 0.000
0.000 4.404 0.000
0.000 0.000 5.064
Pd P S Ru
1 2 1 1
Direct
0.500 0.500 0.500
0.000 0.500 0.000
0.500 0.000 0.000
0.000 0.000 0.500
0.000 0.000 0.000
```

Which of them is the least stable? Correct choice: w.